The following is a PBE calculation of an optimized crystal structure of ZrPaZn2, from Alexandria via LeMat-Bulk.

abc: 3.0024 5.2214 5.2214
angles: 90.00 90.00 90.00
Last column: nearest neighbours and their distance in Å.
Atoms (fractional coordinates):
Pa 0.5000 0.5000 0.5000  2 Pa 3.00, 8 Zn 3.01
Zn 0.0000 0.5000 0.0000  2 Zn 3.00, 4 Zr 3.01, 4 Pa 3.01
Zr 0.5000 0.0000 0.0000  2 Zr 3.00, 8 Zn 3.01
Zn 0.0000 0.0000 0.5000  2 Zn 3.00, 4 Zr 3.01, 4 Pa 3.01

Calculated values
* M_tot: 0.8 μB per cell
* energy relative to the elements: 0.2 kcal/mol of atoms